No. 1
Entry from the Alexandria database: a geometry-optimized Pr8Ru3PtBr4 structure (GGA-PBE).

## Properties
As for the uncorrected formation energy: -0.90 eV/atom. As for the crystal system: trigonal.

Cell lengths 9.2540, 9.2540, 9.2540 Å; angles 53.21, 53.21, 53.21 degrees
Last column: nearest neighbours and their distance in Å.
Element x y z (fractional)
Pr1 0.2219 0.7376 0.7376  2 Ru 2.83, 1 Pt 2.92
Pr2 0.2333 0.2333 0.2333  3 Ru 2.87
Pr3 0.2624 0.2624 0.7781  2 Ru 2.83, 1 Pt 2.92
Pr4 0.2624 0.7781 0.2624  2 Ru 2.83, 1 Pt 2.92
Pr5 0.7376 0.2219 0.7376  2 Ru 2.83, 1 Pt 2.92
Pr6 0.7376 0.7376 0.2219  2 Ru 2.83, 1 Pt 2.92
Pr7 0.7667 0.7667 0.7667  3 Ru 2.87
Pr8 0.7781 0.2624 0.2624  2 Ru 2.83, 1 Pt 2.92
Ru1 0.0000 0.0000 0.5000  6 Pr 2.83-2.87
Ru2 0.0000 0.5000 0.0000  6 Pr 2.83-2.87
Ru3 0.5000 0.0000 0.0000  6 Pr 2.83-2.87
Pt1 0.5000 0.5000 0.5000  6 Pr 2.92
Br1 0.0000 0.0000 0.0000  6 Pr 3.34
Br2 0.0000 0.5000 0.5000  6 Pr 3.37-3.42
Br3 0.5000 0.0000 0.5000  6 Pr 3.37-3.42
Br4 0.5000 0.5000 0.0000  6 Pr 3.37-3.42

No. 2
Entry from the Alexandria database: a geometry-optimized PuScZnSn structure (GGA-PBE).

## Properties
Its energy of formation is -0.312 eV/atom. As for the crystal system: cubic.

Cell lengths 5.0784, 5.0784, 5.0784 Å; angles 60.00, 60.00, 60.00 degrees
Last column: nearest neighbours and their distance in Å.
Element x y z (fractional)
Pu1 0.0000 0.0000 0.0000  4 Sn 3.11, 4 Zn 3.11
Sc1 0.5000 0.5000 0.5000  4 Sn 3.11, 4 Zn 3.11
Zn1 0.2500 0.2500 0.2500  4 Sc 3.11, 4 Pu 3.11
Sn1 0.7500 0.7500 0.7500  4 Sc 3.11, 4 Pu 3.11

No. 3
Entry from the Alexandria database: a geometry-optimized In4Hg3Sb structure (GGA-PBE).

## Properties
As for the uncorrected formation energy: 0.01 eV/atom. As for the crystal system: triclinic.

Cell lengths 4.3860, 4.6416, 11.7568 Å; angles 88.44, 85.42, 69.24 degrees
Last column: nearest neighbours and their distance in Å.
Element x y z (fractional)
In1 0.1251 0.1299 0.1240  6 Hg 3.04-3.13
In2 0.3725 0.3695 0.3725  3 Sb 3.05-3.15, 3 Hg 3.09-3.15
In3 0.6275 0.6305 0.6275  3 Sb 3.05-3.15, 3 Hg 3.09-3.15
In4 0.8749 0.8701 0.8760  6 Hg 3.04-3.13
Hg1 0.2533 0.2496 0.7540  6 In 3.08-3.15
Hg2 0.5000 0.5000 0.0000  6 In 3.04-3.13
Hg3 0.7467 0.7504 0.2460  6 In 3.08-3.15
Sb1 0.0000 0.0000 0.5000  6 In 3.05-3.15

No. 4
Entry from the Alexandria database: a geometry-optimized Pm2Tl3Sn structure (GGA-PBE).

## Properties
Its energy of formation is -0.289 eV/atom. As for the crystal system: orthorhombic.

Cell lengths 3.5163, 4.8377, 10.1673 Å; angles 90.00, 90.00, 90.00 degrees
Last column: nearest neighbours and their distance in Å.
Element x y z (fractional)
Pm1 0.0000 0.0000 0.0000  8 Tl 3.34-3.50, 2 Pm 3.52, 2 Sn 3.72
Pm2 0.0000 0.5000 0.4681  4 Sn 3.34, 6 Tl 3.49-3.72, 2 Pm 3.52
Tl1 0.5000 0.0000 0.6443  2 Tl 3.02, 1 Sn 3.27
Tl2 0.5000 0.5000 0.1454  2 Sn 3.02, 1 Tl 3.29, 4 Pm 3.34
Tl3 0.5000 0.5000 0.8216  3 Tl 3.02-3.29
Sn1 0.5000 0.0000 0.3226  3 Tl 3.02-3.27, 4 Pm 3.34

For the records above, the corresponding Fermi-level density of states values read 5.4, 9.1, 3.1, 2.9 states/eV/cell.
For the records above, the corresponding density values read 6.9, 8.5, 8.8, 9.8 g/cm3.